Below is CaBiAsO5 after structural relaxation, with properties calculated at the PBE level.

Geometry as CIF:
```
data_CaBiAsO5
_space_group_name_H-M_alt 'P 21 21 21'
_space_group_IT_number 19
_cell_length_a 7.433
_cell_length_b 8.124
_cell_length_c 8.937
_cell_angle_alpha 90.00
_cell_angle_beta 90.00
_cell_angle_gamma 90.00
loop_
_space_group_symop_operation_xyz
'x,y,z'
'-x+1/2,-y,z+1/2'
'x+1/2,-y+1/2,-z'
'-x,y+1/2,-z+1/2'
loop_
_atom_site_label
_atom_site_type_symbol
_atom_site_fract_x
_atom_site_fract_y
_atom_site_fract_z
Ca1 Ca 0.009 0.121 0.314
Bi1 Bi 0.240 0.734 0.493
As1 As 0.003 0.883 0.843
O1 O 0.006 0.219 0.543
O2 O 0.028 0.063 0.952
O3 O 0.031 0.843 0.360
O4 O 0.188 0.872 0.725
O5 O 0.196 0.406 0.756
```

Calculated values
Its crystal system is orthorhombic. The calculation puts the raw formation energy at -1.76 eV/atom. The total energy is -6.17 eV per atom.